(1)
# Sr3HfCl (PBE, relaxed)
# Energy above the most stable polymorph in this dataset   2.91 eV/f.u.
data_Sr3HfCl
_chemical_formula_sum 'Sr3 Hf1 Cl1'
_symmetry_space_group_name_H-M 'P m -3 m'
_symmetry_Int_Tables_number 221
_symmetry_space_group_name_Hall '-P 4 2 3'
_cell_length_a 6.4873
_cell_length_b 6.4873
_cell_length_c 6.4873
_cell_angle_alpha 90.00
_cell_angle_beta 90.00
_cell_angle_gamma 90.00
loop_
_atom_site_label
_atom_site_type_symbol
_atom_site_fract_x
_atom_site_fract_y
_atom_site_fract_z
Sr1 Sr 0.0000 0.0000 0.5000
Hf1 Hf 0.0000 0.0000 0.0000
Cl1 Cl 0.5000 0.5000 0.5000


(2)
Here is a geometry-optimized SrHf2TaCl structure from the Alexandria database. Energies are from PBE.

Geometry as CIF:
```
data_SrHf2TaCl
_chemical_formula_sum 'Sr1 Hf2 Ta1 Cl1'
_symmetry_space_group_name_H-M 'P 4/m m m'
_symmetry_Int_Tables_number 123
_symmetry_space_group_name_Hall '-P 4 2'
_cell_length_a 5.3826
_cell_length_b 5.3826
_cell_length_c 4.9945
_cell_angle_alpha 90.00
_cell_angle_beta 90.00
_cell_angle_gamma 90.00
loop_
_atom_site_label
_atom_site_type_symbol
_atom_site_fract_x
_atom_site_fract_y
_atom_site_fract_z
Sr1 Sr 0.0000 0.0000 0.0000
Hf1 Hf 0.0000 0.5000 0.0000
Ta1 Ta 0.0000 0.0000 0.5000
Cl1 Cl 0.5000 0.5000 0.5000
```


(3)
# HfTaCl3 (PBE, relaxed)
# Energy above the most stable polymorph in this dataset   0.58 eV/f.u.
data_HfTaCl3
_chemical_formula_sum 'Hf1 Ta1 Cl3'
_symmetry_space_group_name_H-M 'P m -3 m'
_symmetry_Int_Tables_number 221
_symmetry_space_group_name_Hall '-P 4 2 3'
_cell_length_a 4.8481
_cell_length_b 4.8481
_cell_length_c 4.8481
_cell_angle_alpha 90.00
_cell_angle_beta 90.00
_cell_angle_gamma 90.00
loop_
_atom_site_label
_atom_site_type_symbol
_atom_site_fract_x
_atom_site_fract_y
_atom_site_fract_z
Hf1 Hf 0.0000 0.0000 0.0000
Ta1 Ta 0.5000 0.5000 0.5000
Cl1 Cl 0.0000 0.5000 0.5000


(4)
# HfTaCl3 (PBE, relaxed)
# Energy above the most stable polymorph in this dataset   0.00 eV/f.u.
data_HfTaCl3
_chemical_formula_sum 'Hf1 Ta1 Cl3'
_symmetry_space_group_name_H-M 'P m -3 m'
_symmetry_Int_Tables_number 221
_symmetry_space_group_name_Hall '-P 4 2 3'
_cell_length_a 4.9847
_cell_length_b 4.9847
_cell_length_c 4.9847
_cell_angle_alpha 90.00
_cell_angle_beta 90.00
_cell_angle_gamma 90.00
loop_
_atom_site_label
_atom_site_type_symbol
_atom_site_fract_x
_atom_site_fract_y
_atom_site_fract_z
Hf1 Hf 0.0000 0.0000 0.0000
Ta1 Ta 0.5000 0.5000 0.5000
Cl1 Cl 0.0000 0.0000 0.5000


(5)
# HfTaCl2 (PBE, relaxed)
# Energy above the most stable polymorph in this dataset   0.58 eV/f.u.
data_HfTaCl2
_chemical_formula_sum 'Hf4 Ta4 Cl8'
_symmetry_space_group_name_H-M 'I -4 2 d'
_symmetry_Int_Tables_number 122
_symmetry_space_group_name_Hall 'I -4 2bw'
_cell_length_a 4.2864
_cell_length_b 4.2864
_cell_length_c 16.9275
_cell_angle_alpha 90.00
_cell_angle_beta 90.00
_cell_angle_gamma 90.00
loop_
_atom_site_label
_atom_site_type_symbol
_atom_site_fract_x
_atom_site_fract_y
_atom_site_fract_z
Hf1 Hf 0.0000 0.0000 0.0000
Ta1 Ta 0.0000 0.0000 0.5000
Cl1 Cl 0.2438 0.2500 0.6250


(6)
# HfTaCl2 (PBE, relaxed)
# Energy above the most stable polymorph in this dataset   0.00 eV/f.u.
data_HfTaCl2
_chemical_formula_sum 'Hf3 Ta3 Cl6'
_symmetry_space_group_name_H-M 'R -3 m'
_symmetry_Int_Tables_number 166
_symmetry_space_group_name_Hall '-R 3 2"'
_cell_length_a 3.1099
_cell_length_b 3.1099
_cell_length_c 27.0021
_cell_angle_alpha 90.00
_cell_angle_beta 90.00
_cell_angle_gamma 120.00
loop_
_atom_site_label
_atom_site_type_symbol
_atom_site_fract_x
_atom_site_fract_y
_atom_site_fract_z
Hf1 Hf 0.0000 0.0000 0.0000
Ta1 Ta 0.0000 0.0000 0.5000
Cl1 Cl 0.0000 0.0000 0.0979


Across the entries above, energy takes the values -2.841 -4.644 -5.005 -5.121 -6.466 -6.612 eV/atom, respectively.
Across the entries above, D(E_F) takes the values 4.77 5.03 6.29 10.13 18.02 11.82 states/eV per cell, respectively.
Across the entries above, energy relative to the elements, uncorrected takes the values 51.0 232.8 44.8 33.6 -8.8 -22.9 kJ/mol of atoms, respectively.